Crystalline Pu2MnGa3 at its relaxed geometry. Source: Alexandria via LeMat-Bulk, functional PBE.

CIF file:
```
data_Pu2MnGa3
_cell_length_a 5.290
_cell_length_b 5.290
_cell_length_c 5.290
_cell_angle_alpha 64.35
_cell_angle_beta 64.35
_cell_angle_gamma 64.35
_symmetry_space_group_name_H-M 'P 1'
_symmetry_Int_Tables_number 1
loop_
_symmetry_equiv_pos_as_xyz
'x,y,z'
loop_
_atom_site_label
_atom_site_fract_x
_atom_site_fract_y
_atom_site_fract_z
Pu1 0.120 0.120 0.120
Pu2 0.880 0.880 0.880
Mn1 0.500 0.500 0.500
Ga1 0.000 0.500 0.500
Ga2 0.500 0.000 0.500
Ga3 0.500 0.500 0.000
```

Calculated values
Its symmetry is R-3m, No. 166. As for the total moment: 13.750 μB/f.u. The formation energy is -0.279 eV per atom.